A plane-wave DFT calculation with PBE-GGA was carried out for a relaxed structure of GaRu.

a b c (Å): 2.930 13.464 4.357
angles (deg): 90.00 90.00 90.00
Space group Amm2 (No. 38)
One atom of each set of equivalent atoms:
1 Ga 0.000 0.000 0.000 (multiplicity 2)
2 Ga 0.500 0.172 0.811 (multiplicity 4)
3 Ru 0.000 0.164 0.312 (multiplicity 4)
4 Ru 0.500 0.000 0.508 (multiplicity 2)

Output
The density of states at the Fermi level comes out at 12.55 states/eV/cell. The electronic total energy comes out at -6.345 eV per atom. The energy of formation is -0.4 eV/f.u.